[1]
TaZnFe after structural relaxation. Source: Alexandria, functional GGA-PBE.

For the calculated total energy, the calculation gives -7.09 eV per atom. As for the formation energy: 0.10 eV per atom. As for the space group: I4mm (107). The distance to the lowest polymorph of the same formula comes out at 0.2263 eV per atom.

a = 2.7346 Å, b = 2.7346 Å, c = 11.8190 Å
α = 90.00°, β = 90.00°, γ = 90.00°
Closest atoms and distances in Å follow each position.
Fractional positions:
Ta 0.0000 0.0000 0.0000  4 Ta 2.73, 4 Fe 2.80, 4 Zn 2.86
Ta 0.5000 0.5000 0.5000  4 Ta 2.73, 4 Fe 2.80, 4 Zn 2.86
Zn 0.0000 0.0000 0.3213  4 Fe 2.62, 4 Zn 2.73, 4 Ta 2.86
Zn 0.5000 0.5000 0.8213  4 Fe 2.62, 4 Zn 2.73, 4 Ta 2.86
Fe 0.0000 0.0000 0.6719  4 Zn 2.62, 4 Fe 2.73, 4 Ta 2.80
Fe 0.5000 0.5000 0.1719  4 Zn 2.62, 4 Fe 2.73, 4 Ta 2.80

=====

[2]
TaZn2Fe after structural relaxation. Source: Alexandria, functional GGA-PBE.

For the calculated total energy, the calculation gives -5.60 eV per atom. As for the formation energy: 0.12 eV per atom. As for the space group: Cm (8). The distance to the lowest polymorph of the same formula comes out at 0.1019 eV per atom.

a = 8.8786 Å, b = 2.6671 Å, c = 4.9792 Å
α = 90.00°, β = 97.62°, γ = 90.00°
Closest atoms and distances in Å follow each position.
Fractional positions:
Ta 0.0000 0.0000 0.0000  3 Fe 2.54-2.72, 2 Ta 2.67, 3 Zn 2.78
Ta 0.5000 0.5000 0.0000  3 Fe 2.54-2.72, 2 Ta 2.67, 3 Zn 2.78
Zn 0.0071 0.5000 0.5112  5 Zn 2.58-2.70, 3 Fe 2.72-2.86, 4 Ta 2.78-2.87
Zn 0.2557 0.5000 0.2950  5 Zn 2.58-2.70, 3 Ta 2.78-2.86, 4 Fe 2.81-2.85
Zn 0.5071 0.0000 0.5112  5 Zn 2.58-2.70, 3 Fe 2.72-2.86, 4 Ta 2.78-2.87
Zn 0.7557 0.0000 0.2950  5 Zn 2.58-2.70, 3 Ta 2.78-2.86, 4 Fe 2.81-2.85
Fe 0.2453 0.0000 0.7881  3 Ta 2.54-2.72, 2 Fe 2.67, 6 Zn 2.72-2.85
Fe 0.7453 0.5000 0.7881  3 Ta 2.54-2.72, 2 Fe 2.67, 6 Zn 2.72-2.85

=====

[3]
Ta2Zn2Fe after structural relaxation. Source: Alexandria, functional GGA-PBE.

For the calculated total energy, the calculation gives -6.75 eV per atom. As for the formation energy: 0.19 eV per atom. As for the space group: P4/mbm (127).

a = 6.4364 Å, b = 6.4364 Å, c = 3.7003 Å
α = 90.00°, β = 90.00°, γ = 90.00°
Closest atoms and distances in Å follow each position.
Fractional positions:
Ta 0.1726 0.3274 0.0000  6 Zn 2.57-2.71
Ta 0.3274 0.8274 0.0000  6 Zn 2.57-2.71
Ta 0.6726 0.1726 0.0000  6 Zn 2.57-2.71
Ta 0.8274 0.6726 0.0000  6 Zn 2.57-2.71
Zn 0.1320 0.6320 0.5000  1 Zn 2.40, 2 Fe 2.52, 2 Ta 2.57
Zn 0.3680 0.1320 0.5000  1 Zn 2.40, 2 Fe 2.52, 2 Ta 2.57
Zn 0.6320 0.8680 0.5000  1 Zn 2.40, 2 Fe 2.52, 2 Ta 2.57
Zn 0.8680 0.3680 0.5000  1 Zn 2.40, 2 Fe 2.52, 2 Ta 2.57
Fe 0.0000 0.0000 0.5000  4 Zn 2.52
Fe 0.5000 0.5000 0.5000  4 Zn 2.52